# Y2PtAuF PBE relaxed
data_Y2PtAuF
_chemical_formula_sum 'Y2 Pt1 Au1 F1'
_symmetry_space_group_name_H-M 'P 4/m m m'
_symmetry_Int_Tables_number 123
_symmetry_space_group_name_Hall '-P 4 2'
_cell_length_a 5.402
_cell_length_b 5.402
_cell_length_c 4.311
_cell_angle_alpha 90.00
_cell_angle_beta 90.00
_cell_angle_gamma 90.00
loop_
_atom_site_label
_atom_site_type_symbol
_atom_site_fract_x
_atom_site_fract_y
_atom_site_fract_z
Y1 Y 0.000 0.500 0.000
Pt1 Pt 0.000 0.000 0.000
Au1 Au 0.500 0.500 0.500
F1 F 0.000 0.000 0.500
# - Formation energy (no corrections): -0.618 eV/atom